VASP calculation (PBE-GGA) on a relaxed Be2AgOsN crystal.

Cell: 3.874 3.824 3.874 Å, 90.00 90.00 90.00°
Positions (direct):
Be  0.000  0.000  0.500
Be  0.500  0.000  0.000
Os  0.000  0.500  0.000
Ag  0.500  0.500  0.500
N  0.000  0.000  0.000

Output
**Energy relative to the elements, uncorrected**: 0.34 eV per atom
**Crystal system**: tetragonal
**V**: 11.48 Å³/atom